No. 1
Computed, not measured: a relaxed PaCu2Si crystal at the PBE-GGA level of DFT.

Structure (POSCAR):
```
PaCu2Si
1.0
-2.383 2.745 2.717
-1.848 -1.627 3.813
1.682 1.217 4.036
Cu Si Pa
2 1 1
Direct
0.250 0.250 0.250
0.750 0.750 0.750
0.000 0.000 0.000
0.500 0.500 0.500
```

Summary:
* total moment: 0.0 μB per formula unit
* E_form (uncorrected): -0.100 eV/atom
* N(E_F): 0.96 states/eV per atom



No. 2
Computed, not measured: a relaxed PaCu2Si crystal at the PBE-GGA level of DFT.

Structure (POSCAR):
```
PaCu2Si
1.0
4.046 0.000 0.000
2.023 3.504 0.000
2.023 1.168 4.714
Pa Cu Si
1 2 1
Direct
0.500 0.500 0.500
0.714 0.714 0.859
0.286 0.286 0.141
0.000 0.000 0.000
```

Summary:
* total moment: 0.0 μB per formula unit
* E_form (uncorrected): -0.206 eV/atom
* N(E_F): 1.14 states/eV per atom



No. 3
Computed, not measured: a relaxed Pa2CuSi3 crystal at the PBE-GGA level of DFT.

Structure (POSCAR):
```
Pa2CuSi3
1.0
-0.407 3.933 -0.687
-2.167 0.366 3.379
5.778 1.223 3.574
Si Pa Cu
3 2 1
Direct
0.500 0.500 0.661
0.500 0.000 0.833
0.500 0.000 0.172
0.000 0.000 0.511
0.000 0.500 0.993
0.500 0.500 0.330
```

Summary:
* total moment: 0.0 μB per formula unit
* E_form (uncorrected): -0.513 eV/atom
* N(E_F): 1.12 states/eV per atom
* E above lowest polymorph: 0 meV/atom



> What is the total moment in the first record?

0.0 μB per formula unit